Entry 1:
Computed, not measured: crystalline Tl2ZnSiTe4 at its relaxed geometry at the PBE level of DFT.

## Properties
Crystal system   orthorhombic

Geometry as POSCAR:
```
Tl2ZnSiTe4
1.0
-5.9364 1.2212 3.5906
-4.7540 -7.2092 -5.4079
2.2657 -5.7781 5.7110
Tl Zn Si Te
4 2 2 8
direct
0.4487 0.3378 0.2696
0.4487 0.3378 0.7304
0.9487 0.6622 0.7696
0.9487 0.6622 0.2304
0.0001 0.1230 0.5000
0.5001 0.8770 0.0000
0.5120 0.8591 0.5000
0.0120 0.1409 0.0000
0.3722 0.1231 0.0000
0.8722 0.8769 0.5000
0.3801 0.0889 0.5000
0.8801 0.9111 0.0000
0.4191 0.7246 0.7437
0.9191 0.2754 0.2437
0.9191 0.2754 0.7563
0.4191 0.7246 0.2563
```


Entry 2:
Computed, not measured: crystalline Tm5Si2Te at its relaxed geometry at the PBE level of DFT.

## Properties
Crystal system   tetragonal

Geometry as POSCAR:
```
Tm5Si2Te
1.0
6.9925 0.0000 -3.3008
-1.5582 6.8167 -3.3008
-0.2583 -0.3240 8.5096
Tm Si Te
10 4 2
direct
0.5123 0.7074 0.7197
0.7926 0.9877 0.2803
0.0000 0.0000 0.0000
0.5000 0.5000 0.0000
0.2074 0.0123 0.7197
0.7074 0.2074 0.7197
0.0123 0.5123 0.7197
0.2926 0.7926 0.2803
0.9877 0.4877 0.2803
0.4877 0.2926 0.2803
0.1500 0.3500 0.0000
0.6500 0.1500 0.0000
0.3500 0.8500 0.0000
0.8500 0.6500 0.0000
0.7500 0.7500 0.5000
0.2500 0.2500 0.5000
```


Entry 3:
Computed, not measured: crystalline Tm3SiTe2 at its relaxed geometry at the PBE level of DFT.

## Properties
Energy above the most stable polymorph in this dataset   17 meV/atom
Crystal system   monoclinic

Geometry as POSCAR:
```
Tm3SiTe2
1.0
7.2782 0.1840 0.3169
-1.4259 7.1988 -0.2093
-1.4259 -3.7506 6.1481
Tm Si Te
6 2 4
direct
0.0073 0.2170 0.3609
0.5073 0.3609 0.2170
0.0000 0.5000 0.0000
0.9927 0.7830 0.6391
0.5000 0.0000 0.5000
0.4927 0.6391 0.7830
0.2500 0.5914 0.4086
0.7500 0.4086 0.5914
0.2500 0.9198 0.0802
0.2500 0.2393 0.7607
0.7500 0.0802 0.9198
0.7500 0.7607 0.2393
```


Entry 4:
Computed, not measured: crystalline TmSi2Te6 at its relaxed geometry at the PBE level of DFT.

## Properties
Crystal system   monoclinic

Geometry as POSCAR:
```
TmSi2Te6
1.0
7.4955 0.0310 0.0300
2.2082 9.2265 0.3282
2.2082 0.6269 9.2110
Tm Si Te
2 4 12
direct
0.2500 0.1211 0.8789
0.7500 0.8789 0.1211
0.2443 0.6249 0.7874
0.2557 0.2126 0.3751
0.7557 0.3751 0.2126
0.7443 0.7874 0.6249
0.4858 0.6917 0.5583
0.0142 0.4417 0.3083
0.5142 0.3083 0.4417
0.9858 0.5583 0.6917
0.8625 0.9263 0.3871
0.6375 0.6129 0.0737
0.1375 0.0737 0.6129
0.3625 0.3871 0.9263
0.1647 0.8097 0.9731
0.3353 0.0269 0.1903
0.8353 0.1903 0.0269
0.6647 0.9731 0.8097
```


Number 1: uncorrected formation energy -0.218 eV per atom. Number 2: uncorrected formation energy -0.720 eV per atom. Number 3: uncorrected formation energy -1.146 eV per atom. Number 4: uncorrected formation energy -0.277 eV per atom.